# GGA-PBE Cs4DyY3Te8, optimized geometry
data_Cs4DyY3Te8
_chemical_formula_sum 'Cs12 Dy3 Y9 Te24'
_cell_length_a 9.1120
_cell_length_b 9.1120
_cell_length_c 26.7487
_cell_angle_alpha 90.00
_cell_angle_beta 90.00
_cell_angle_gamma 120.00
_symmetry_space_group_name_H-M 'R -3 m'
_symmetry_Int_Tables_number 166
_symmetry_space_group_name_Hall '-R 3 2"'
loop_
_atom_site_label
_atom_site_fract_x
_atom_site_fract_y
_atom_site_fract_z
Cs1 0.0000 0.0000 0.0000
Cs2 0.0000 0.5000 0.0000
Dy1 0.0000 0.0000 0.5000
Y1 0.0000 0.5000 0.5000
Te1 0.0000 0.0000 0.2300
Te2 0.0004 0.5002 0.2300
# Crystal system   trigonal
# ΔE_f (raw)   -1.398 eV per atom